Entry 1:
Tb2NpGa6: optimized geometry, PBE-GGA.

As for the density of states at the Fermi level: 1.16 states/eV/atom. For the total energy, the calculation gives -4.943 eV per atom.

It has space group P6/mmm (No. 191), with a = 7.5994 Å, b = 7.5994 Å, c = 3.7058 Å, α = 90.00°, β = 90.00° and γ = 120.00°. Symmetry generates all atoms from Tb at (0.3333, 0.6667, 0.0000), Np at (0.0000, 0.0000, 0.0000) and Ga at (0.0000, 0.3332, 0.5000).

---

Entry 2:
NpGa4Tc: optimized geometry, PBE-GGA.

As for the density of states at the Fermi level: 1.85 states/eV/atom. For the total energy, the calculation gives -5.769 eV per atom.

It has space group F-43m (No. 216), with a = 7.467 Å, b = 7.467 Å, c = 7.467 Å, α = 90.00°, β = 90.00° and γ = 90.00°. Symmetry generates all atoms from Np at (0.000, 0.000, 0.000), Ga at (0.125, 0.125, 0.625) and Tc at (0.250, 0.250, 0.250).

---

Entry 3:
Np3Ga9Tc2: optimized geometry, PBE-GGA.

As for the density of states at the Fermi level: 2.13 states/eV/atom. For the total energy, the calculation gives -6.378 eV per atom.

It has space group Immm (No. 71), with a = 4.389 Å, b = 9.497 Å, c = 12.170 Å, α = 90.00°, β = 90.00° and γ = 90.00°. Symmetry generates all atoms from Np at (0.000, 0.000, 0.000), Np at (0.000, 0.000, 0.303), Ga at (0.000, 0.281, 0.132), Ga at (0.000, 0.364, 0.348), Ga at (0.000, 0.500, 0.000) and Tc at (0.000, 0.168, 0.500).

---

Entry 4:
Np4Ga12Tc: optimized geometry, PBE-GGA.

As for the density of states at the Fermi level: 2.65 states/eV/atom. For the total energy, the calculation gives -6.007 eV per atom.

It has space group Im-3m (No. 229), with a = 8.625 Å, b = 8.625 Å, c = 8.625 Å, α = 90.00°, β = 90.00° and γ = 90.00°. Symmetry generates all atoms from Np at (0.250, 0.250, 0.250), Ga at (0.000, 0.000, 0.290), Ga at (0.000, 0.250, 0.500) and Tc at (0.000, 0.000, 0.000).

---

Calculated values (eV per atom) of DFT formation energy for the records, taken in order: -0.458 0.133 -0.178 -0.216.